1.
First-principles (GGA-PBE) data for a relaxed structure of Y6BiOs2, as listed in Alexandria via LeMat-Bulk.

a = 8.598 Å, b = 8.598 Å, c = 8.598 Å
α = 112.06°, β = 110.71°, γ = 105.72°
Positions (direct):
Y 0.026 0.241 0.785
Y 0.183 0.280 0.463
Y 0.183 0.720 0.903
Y 0.330 0.016 0.685
Y 0.330 0.645 0.315
Y 0.456 0.241 0.215
Y 0.544 0.759 0.785
Y 0.670 0.355 0.685
Y 0.670 0.984 0.315
Y 0.817 0.280 0.097
Y 0.817 0.720 0.537
Y 0.974 0.759 0.215
Bi 0.000 0.000 0.000
Bi 0.500 0.500 0.000
Os 0.119 0.619 0.500
Os 0.336 0.000 0.336
Os 0.664 0.000 0.664
Os 0.881 0.381 0.500

SG = Immm (71)
Size of the total moment = 0.000 μB per atom
Formation enthalpy at 0 K = -34.7 kJ per mole of atoms


2.
First-principles (GGA-PBE) data for a relaxed structure of Y3BiOs, as listed in Alexandria via LeMat-Bulk.

a = 5.377 Å, b = 5.377 Å, c = 5.377 Å
α = 90.00°, β = 90.00°, γ = 90.00°
Positions (direct):
Y 0.000 0.000 0.500
Y 0.000 0.500 0.000
Y 0.500 0.000 0.000
Bi 0.500 0.500 0.500
Os 0.000 0.000 0.000

SG = Pm-3m (221)
Energy above the lowest structure with this stoichiometry = 0.000 eV/atom
Size of the total moment = 0.000 μB per atom
Formation enthalpy at 0 K = -21.2 kJ per mole of atoms


3.
First-principles (GGA-PBE) data for a relaxed structure of Y6Bi3Os, as listed in Alexandria via LeMat-Bulk.

a = 6.680 Å, b = 8.439 Å, c = 12.674 Å
α = 90.00°, β = 120.91°, γ = 90.00°
Positions (direct):
Y 0.068 0.203 0.439
Y 0.068 0.297 0.939
Y 0.290 0.657 0.438
Y 0.290 0.843 0.938
Y 0.376 0.042 0.230
Y 0.376 0.458 0.730
Y 0.624 0.542 0.270
Y 0.624 0.958 0.770
Y 0.710 0.157 0.062
Y 0.710 0.343 0.562
Y 0.932 0.703 0.061
Y 0.932 0.797 0.561
Bi 0.162 0.116 0.737
Bi 0.162 0.384 0.237
Bi 0.500 0.000 0.500
Bi 0.500 0.500 0.000
Bi 0.838 0.616 0.763
Bi 0.838 0.884 0.263
Os 0.000 0.000 0.000
Os 0.000 0.500 0.500

SG = P2_1/c (14)
Size of the total moment = 0.000 μB per atom
Formation enthalpy at 0 K = -50.4 kJ per mole of atoms


4.
First-principles (GGA-PBE) data for a relaxed structure of Y4BiOs, as listed in Alexandria via LeMat-Bulk.

a = 8.129 Å, b = 8.129 Å, c = 6.201 Å
α = 102.90°, β = 102.90°, γ = 112.45°
Positions (direct):
Y 0.059 0.724 0.932
Y 0.205 0.346 0.653
Y 0.276 0.941 0.568
Y 0.346 0.205 0.153
Y 0.654 0.795 0.847
Y 0.724 0.059 0.432
Y 0.795 0.654 0.347
Y 0.941 0.276 0.068
Bi 0.372 0.628 0.250
Bi 0.628 0.372 0.750
Os 0.000 0.000 0.250
Os 0.000 0.000 0.750

SG = C2/c (15)
Size of the total moment = 0.000 μB per atom
Formation enthalpy at 0 K = -45.2 kJ per mole of atoms


5.
First-principles (GGA-PBE) data for a relaxed structure of YBi3Os, as listed in Alexandria via LeMat-Bulk.

a = 5.365 Å, b = 5.365 Å, c = 5.365 Å
α = 90.00°, β = 90.00°, γ = 90.00°
Positions (direct):
Y 0.000 0.000 0.000
Bi 0.000 0.500 0.500
Bi 0.500 0.000 0.500
Bi 0.500 0.500 0.000
Os 0.500 0.500 0.500

SG = Pm-3m (221)
Size of the total moment = 0.000 μB per atom
Formation enthalpy at 0 K = 55.0 kJ per mole of atoms


6.
First-principles (GGA-PBE) data for a relaxed structure of Y2BiOs, as listed in Alexandria via LeMat-Bulk.

a = 6.582 Å, b = 6.582 Å, c = 6.582 Å
α = 104.35°, β = 104.35°, γ = 120.29°
Positions (direct):
Y 0.069 0.625 0.944
Y 0.375 0.319 0.444
Y 0.681 0.125 0.056
Y 0.875 0.931 0.556
Bi 0.250 0.750 0.500
Bi 0.500 0.500 0.000
Os 0.000 0.000 0.000
Os 0.750 0.250 0.500

SG = I-42d (122)
Size of the total moment = 0.000 μB per atom
Formation enthalpy at 0 K = 2.9 kJ per mole of atoms


7.
First-principles (GGA-PBE) data for a relaxed structure of YBiOs2, as listed in Alexandria via LeMat-Bulk.

a = 6.188 Å, b = 6.188 Å, c = 6.188 Å
α = 103.64°, β = 103.64°, γ = 121.90°
Positions (direct):
Y 0.000 0.000 0.000
Y 0.750 0.250 0.500
Bi 0.250 0.750 0.500
Bi 0.500 0.500 0.000
Os 0.155 0.625 0.030
Os 0.375 0.405 0.530
Os 0.595 0.125 0.970
Os 0.875 0.845 0.470

SG = I-42d (122)
Size of the total moment = 0.000 μB per atom
Formation enthalpy at 0 K = 98.6 kJ per mole of atoms


8.
First-principles (GGA-PBE) data for a relaxed structure of Y2ZrBiOs, as listed in Alexandria via LeMat-Bulk.

a = 5.429 Å, b = 5.429 Å, c = 5.020 Å
α = 90.00°, β = 90.00°, γ = 90.00°
Positions (direct):
Y 0.000 0.500 0.000
Y 0.500 0.000 0.000
Zr 0.000 0.000 0.500
Bi 0.500 0.500 0.500
Os 0.000 0.000 0.000

SG = P4/mmm (123)
Size of the total moment = 0.000 μB per atom
Formation enthalpy at 0 K = -9.8 kJ per mole of atoms


9.
First-principles (GGA-PBE) data for a relaxed structure of ZnBiOs2, as listed in Alexandria via LeMat-Bulk.

a = 9.625 Å, b = 9.625 Å, c = 9.625 Å
α = 154.68°, β = 154.68°, γ = 36.11°
Positions (direct):
Zn 0.000 0.000 0.000
Zn 0.750 0.250 0.500
Bi 0.250 0.750 0.500
Bi 0.500 0.500 0.000
Os 0.017 0.625 0.892
Os 0.375 0.267 0.392
Os 0.733 0.125 0.108
Os 0.875 0.983 0.608

SG = I-42d (122)
Energy above the lowest structure with this stoichiometry = 0.053 eV/atom
Size of the total moment = 0.000 μB per atom
Formation enthalpy at 0 K = 80.2 kJ per mole of atoms


10.
First-principles (GGA-PBE) data for a relaxed structure of Zn2BiOs, as listed in Alexandria via LeMat-Bulk.

a = 9.784 Å, b = 9.784 Å, c = 9.784 Å
α = 155.63°, β = 155.63°, γ = 34.74°
Positions (direct):
Zn 0.036 0.625 0.911
Zn 0.375 0.286 0.411
Zn 0.714 0.125 0.089
Zn 0.875 0.964 0.589
Bi 0.250 0.750 0.500
Bi 0.500 0.500 0.000
Os 0.000 0.000 0.000
Os 0.750 0.250 0.500

SG = I-42d (122)
Size of the total moment = 0.000 μB per atom
Formation enthalpy at 0 K = 59.0 kJ per mole of atoms


11.
First-principles (GGA-PBE) data for a relaxed structure of ZnBiOs2, as listed in Alexandria via LeMat-Bulk.

a = 4.544 Å, b = 4.544 Å, c = 4.544 Å
α = 60.00°, β = 60.00°, γ = 60.00°
Positions (direct):
Zn 0.000 0.000 0.000
Bi 0.500 0.500 0.500
Os 0.250 0.250 0.250
Os 0.750 0.750 0.750

SG = Fm-3m (225)
Energy above the lowest structure with this stoichiometry = 0.000 eV/atom
Size of the total moment = 0.000 μB per atom
Formation enthalpy at 0 K = 75.0 kJ per mole of atoms


12.
First-principles (GGA-PBE) data for a relaxed structure of Zr3BiOs, as listed in Alexandria via LeMat-Bulk.

a = 5.090 Å, b = 5.090 Å, c = 5.090 Å
α = 90.00°, β = 90.00°, γ = 90.00°
Positions (direct):
Zr 0.000 0.000 0.500
Zr 0.000 0.500 0.000
Zr 0.500 0.000 0.000
Bi 0.500 0.500 0.500
Os 0.000 0.000 0.000

SG = Pm-3m (221)
Energy above the lowest structure with this stoichiometry = 0.000 eV/atom
Size of the total moment = 0.000 μB per atom
Formation enthalpy at 0 K = 10.6 kJ per mole of atoms


13.
First-principles (GGA-PBE) data for a relaxed structure of Zr3BiOs, as listed in Alexandria via LeMat-Bulk.

a = 5.268 Å, b = 5.268 Å, c = 5.268 Å
α = 90.00°, β = 90.00°, γ = 90.00°
Positions (direct):
Zr 0.000 0.000 0.500
Zr 0.000 0.500 0.000
Zr 0.500 0.000 0.000
Bi 0.000 0.000 0.000
Os 0.500 0.500 0.500

SG = Pm-3m (221)
Energy above the lowest structure with this stoichiometry = 1.662 eV/atom
Size of the total moment = 0.280 μB per atom
Formation enthalpy at 0 K = 171.0 kJ per mole of atoms


14.
First-principles (GGA-PBE) data for a relaxed structure of ZrBiOs2, as listed in Alexandria via LeMat-Bulk.

a = 10.599 Å, b = 10.599 Å, c = 10.599 Å
α = 157.46°, β = 157.46°, γ = 32.09°
Positions (direct):
Zr 0.000 0.000 0.000
Zr 0.750 0.250 0.500
Bi 0.250 0.750 0.500
Bi 0.500 0.500 0.000
Os 0.028 0.625 0.903
Os 0.375 0.278 0.403
Os 0.722 0.125 0.097
Os 0.875 0.972 0.597

SG = I-42d (122)
Size of the total moment = 0.000 μB per atom
Formation enthalpy at 0 K = 70.4 kJ per mole of atoms


15.
First-principles (GGA-PBE) data for a relaxed structure of Bi3P, as listed in Alexandria via LeMat-Bulk.

a = 4.261 Å, b = 6.168 Å, c = 5.016 Å
α = 90.00°, β = 90.00°, γ = 90.00°
Positions (direct):
Bi 0.000 0.000 0.000
Bi 0.000 0.500 0.157
Bi 0.500 0.000 0.572
P 0.500 0.500 0.504

SG = Pmm2 (25)
Energy above the lowest structure with this stoichiometry = 0.000 eV/atom
Size of the total moment = 0.000 μB per atom
Formation enthalpy at 0 K = 14.7 kJ per mole of atoms


16.
First-principles (GGA-PBE) data for a relaxed structure of Bi3P, as listed in Alexandria via LeMat-Bulk.

a = 7.040 Å, b = 7.040 Å, c = 5.194 Å
α = 90.00°, β = 90.00°, γ = 120.00°
Positions (direct):
Bi 0.180 0.360 0.250
Bi 0.180 0.820 0.250
Bi 0.360 0.180 0.750
Bi 0.640 0.820 0.250
Bi 0.820 0.180 0.750
Bi 0.820 0.640 0.750
P 0.333 0.667 0.750
P 0.667 0.333 0.250

SG = P6_3/mmc (194)
Energy above the lowest structure with this stoichiometry = 0.238 eV/atom
Size of the total moment = 0.000 μB per atom
Formation enthalpy at 0 K = 37.6 kJ per mole of atoms


17.
First-principles (GGA-PBE) data for a relaxed structure of Pa2BiP, as listed in Alexandria via LeMat-Bulk.

a = 7.911 Å, b = 7.911 Å, c = 7.911 Å
α = 29.44°, β = 29.44°, γ = 29.44°
Positions (direct):
Pa 0.000 0.000 0.000
Pa 0.198 0.198 0.198
Bi 0.767 0.767 0.767
P 0.598 0.598 0.598

SG = R3m (160)
Energy above the lowest structure with this stoichiometry = 0.067 eV/atom
Size of the total moment = 0.324 μB per atom
Formation enthalpy at 0 K = -63.1 kJ per mole of atoms


18.
First-principles (GGA-PBE) data for a relaxed structure of Pa2BiP, as listed in Alexandria via LeMat-Bulk.

a = 7.583 Å, b = 7.583 Å, c = 7.583 Å
α = 31.39°, β = 31.39°, γ = 31.39°
Positions (direct):
Pa 0.234 0.234 0.234
Pa 0.766 0.766 0.766
Bi 0.000 0.000 0.000
P 0.500 0.500 0.500

SG = R-3m (166)
Energy above the lowest structure with this stoichiometry = 0.000 eV/atom
Size of the total moment = 0.000 μB per atom
Formation enthalpy at 0 K = -69.6 kJ per mole of atoms


19.
First-principles (GGA-PBE) data for a relaxed structure of Pa2BiP, as listed in Alexandria via LeMat-Bulk.

a = 3.462 Å, b = 3.462 Å, c = 7.930 Å
α = 90.00°, β = 90.00°, γ = 90.00°
Positions (direct):
Pa 0.000 0.000 0.205
Pa 0.000 0.000 0.795
Bi 0.500 0.500 0.500
P 0.500 0.500 0.000

SG = P4/mmm (123)
Energy above the lowest structure with this stoichiometry = 0.233 eV/atom
Size of the total moment = 0.196 μB per atom
Formation enthalpy at 0 K = -47.0 kJ per mole of atoms


20.
First-principles (GGA-PBE) data for a relaxed structure of PaBiP2, as listed in Alexandria via LeMat-Bulk.

a = 8.731 Å, b = 8.731 Å, c = 8.731 Å
α = 26.98°, β = 26.98°, γ = 26.98°
Positions (direct):
Pa 0.000 0.000 0.000
Bi 0.500 0.500 0.500
P 0.389 0.389 0.389
P 0.611 0.611 0.611

SG = R-3m (166)
Size of the total moment = 0.000 μB per atom
Formation enthalpy at 0 K = -32.3 kJ per mole of atoms


21.
First-principles (GGA-PBE) data for a relaxed structure of Pa4Bi5P, as listed in Alexandria via LeMat-Bulk.

a = 9.403 Å, b = 9.403 Å, c = 8.050 Å
α = 97.20°, β = 97.20°, γ = 26.32°
Positions (direct):
Pa 0.031 0.031 0.217
Pa 0.361 0.361 0.085
Pa 0.639 0.639 0.915
Pa 0.969 0.969 0.783
Bi 0.137 0.137 0.614
Bi 0.200 0.200 0.191
Bi 0.500 0.500 0.500
Bi 0.800 0.800 0.809
Bi 0.863 0.863 0.386
P 0.500 0.500 0.000

SG = C2/m (12)
Size of the total moment = 0.000 μB per atom
Formation enthalpy at 0 K = -22.9 kJ per mole of atoms


22.
First-principles (GGA-PBE) data for a relaxed structure of PaBiP, as listed in Alexandria via LeMat-Bulk.

a = 10.030 Å, b = 10.030 Å, c = 4.178 Å
α = 90.00°, β = 90.00°, γ = 158.65°
Positions (direct):
Pa 0.065 0.935 0.750
Pa 0.935 0.065 0.250
Bi 0.202 0.798 0.250
Bi 0.798 0.202 0.750
P 0.439 0.561 0.750
P 0.561 0.439 0.250

SG = Cmcm (63)
Energy above the lowest structure with this stoichiometry = 0.029 eV/atom
Size of the total moment = 0.000 μB per atom
Formation enthalpy at 0 K = -43.5 kJ per mole of atoms


23.
First-principles (GGA-PBE) data for a relaxed structure of PaBiP, as listed in Alexandria via LeMat-Bulk.

a = 6.365 Å, b = 6.365 Å, c = 6.365 Å
α = 146.85°, β = 146.85°, γ = 47.58°
Positions (direct):
Pa 0.000 0.000 0.000
Bi 0.291 0.291 0.000
P 0.585 0.585 0.000

SG = I4mm (107)
Energy above the lowest structure with this stoichiometry = 0.000 eV/atom
Size of the total moment = 0.000 μB per atom
Formation enthalpy at 0 K = -46.3 kJ per mole of atoms


24.
First-principles (GGA-PBE) data for a relaxed structure of BiPPb3, as listed in Alexandria via LeMat-Bulk.

a = 5.964 Å, b = 5.964 Å, c = 5.964 Å
α = 90.00°, β = 90.00°, γ = 90.00°
Positions (direct):
Bi 0.000 0.000 0.000
P 0.500 0.500 0.500
Pb 0.000 0.000 0.500
Pb 0.000 0.500 0.000
Pb 0.500 0.000 0.000

SG = Pm-3m (221)
Energy above the lowest structure with this stoichiometry = 0.725 eV/atom
Size of the total moment = 0.000 μB per atom
Formation enthalpy at 0 K = 97.3 kJ per mole of atoms


25.
First-principles (GGA-PBE) data for a relaxed structure of BiP2Pb2, as listed in Alexandria via LeMat-Bulk.

a = 8.065 Å, b = 8.065 Å, c = 4.051 Å
α = 90.00°, β = 90.00°, γ = 90.00°
Positions (direct):
Bi 0.000 0.000 0.000
Bi 0.500 0.500 0.000
P 0.177 0.323 0.000
P 0.323 0.823 0.000
P 0.677 0.177 0.000
P 0.823 0.677 0.000
Pb 0.146 0.646 0.500
Pb 0.354 0.146 0.500
Pb 0.646 0.854 0.500
Pb 0.854 0.354 0.500

SG = P4/mbm (127)
Energy above the lowest structure with this stoichiometry = 0.031 eV/atom
Size of the total moment = 0.000 μB per atom
Formation enthalpy at 0 K = 19.8 kJ per mole of atoms


26.
First-principles (GGA-PBE) data for a relaxed structure of Bi2PPb, as listed in Alexandria via LeMat-Bulk.

a = 5.378 Å, b = 5.378 Å, c = 5.378 Å
α = 60.00°, β = 60.00°, γ = 60.00°
Positions (direct):
Bi 0.250 0.250 0.250
Bi 0.750 0.750 0.750
P 0.000 0.000 0.000
Pb 0.500 0.500 0.500

SG = Fm-3m (225)
Energy above the lowest structure with this stoichiometry = 0.225 eV/atom
Size of the total moment = 0.000 μB per atom
Formation enthalpy at 0 K = 36.4 kJ per mole of atoms